(1)
This record from Alexandria via LeMat-Bulk describes a PBEsol-optimized structure of TlTcBr2. The functional is SCAN.

Output
formation energy (no corrections): 36 kJ/mol of atoms
DOS at the Fermi energy: 2.3 states/eV/f.u.
calculated volume: 90.5 Å³/f.u.
offset from the most stable computed form: 364 meV/atom

a b c (Å): 3.191 3.191 30.799
angles (deg): 90.00 90.00 120.00
Fractional coordinates of all 12 atoms:
Tl 0.000 0.000 0.000
Tl 0.333 0.667 0.667
Tl 0.667 0.333 0.333
Tc 0.000 0.000 0.500
Tc 0.333 0.667 0.167
Tc 0.667 0.333 0.833
Br 0.000 0.000 0.424
Br 0.000 0.000 0.576
Br 0.333 0.667 0.091
Br 0.333 0.667 0.243
Br 0.667 0.333 0.757
Br 0.667 0.333 0.909

---

(2)
This record from Alexandria via LeMat-Bulk describes a PBEsol-optimized structure of KSrBe2. The functional is SCAN.

Output
formation energy: 495 meV/atom
DOS at the Fermi energy: 2.7 states/eV/f.u.
calculated volume: 123.1 Å³/f.u.
offset from the most stable computed form: 0 meV/atom

a b c (Å): 7.060 4.082 8.839
angles (deg): 90.00 104.89 90.00
Fractional coordinates of all 8 atoms:
K 0.000 0.000 0.000
K 0.500 0.500 0.000
Sr 0.334 0.500 0.487
Sr 0.834 0.000 0.487
Be 0.075 0.500 0.714
Be 0.240 0.000 0.714
Be 0.575 0.000 0.714
Be 0.740 0.500 0.714

---

(3)
This record from Alexandria via LeMat-Bulk describes a PBEsol-optimized structure of Fe3C. The functional is SCAN.

Output
formation energy: 930 meV/atom
DOS at the Fermi energy: 1.4 states/eV/f.u.
calculated volume: 35.1 Å³/f.u.

a b c (Å): 3.201 3.201 6.844
angles (deg): 90.00 90.00 90.00
Fractional coordinates of all 8 atoms:
Fe 0.000 0.000 0.000
Fe 0.000 0.500 0.250
Fe 0.000 0.500 0.750
Fe 0.500 0.000 0.250
Fe 0.500 0.000 0.750
Fe 0.500 0.500 0.500
C 0.000 0.000 0.500
C 0.500 0.500 0.000

---

(4)
This record from Alexandria via LeMat-Bulk describes a PBEsol-optimized structure of LiTi3Cu. The functional is SCAN.

Output
formation energy: 739 meV/atom
DOS at the Fermi energy: 6.4 states/eV/f.u.
calculated volume: 98.8 Å³/f.u.

a b c (Å): 4.622 4.622 4.622
angles (deg): 90.00 90.00 90.00
Fractional coordinates of all 5 atoms:
Li 0.000 0.000 0.000
Ti 0.000 0.500 0.500
Ti 0.500 0.000 0.500
Ti 0.500 0.500 0.000
Cu 0.500 0.500 0.500

---

(5)
This record from Alexandria via LeMat-Bulk describes a PBEsol-optimized structure of K2CuPt. The functional is SCAN.

Output
formation energy: 344 meV/atom
DOS at the Fermi energy: 1.7 states/eV/f.u.
calculated volume: 96.6 Å³/f.u.
offset from the most stable computed form: 293 meV/atom

a b c (Å): 8.366 8.388 2.753
angles (deg): 90.00 90.00 90.00
Fractional coordinates of all 8 atoms:
K 0.250 0.250 0.000
K 0.250 0.750 0.000
K 0.750 0.250 0.000
K 0.750 0.750 0.000
Cu 0.000 0.000 0.500
Cu 0.500 0.500 0.500
Pt 0.000 0.500 0.500
Pt 0.500 0.000 0.500

---

(6)
This record from Alexandria via LeMat-Bulk describes a PBEsol-optimized structure of CoSn3B. The functional is SCAN.

Output
formation energy: 1013 meV/atom
DOS at the Fermi energy: 3.3 states/eV/f.u.
calculated volume: 109.1 Å³/f.u.

a b c (Å): 4.778 4.778 4.778
angles (deg): 90.00 90.00 90.00
Fractional coordinates of all 5 atoms:
Co 0.000 0.000 0.000
Sn 0.000 0.000 0.500
Sn 0.000 0.500 0.000
Sn 0.500 0.000 0.000
B 0.500 0.500 0.500

---

- Which value of calculated volume does entry 3 give?
  35.1 Å³/f.u.